# 1
Cu2WSe after structural relaxation. Source: Alexandria, functional GGA-PBEsol.

Cell: 3.2221 4.3056 8.4416 Å, 90.00 90.00 90.00°
Space group Cmmm (No. 65)
One atom of each set of equivalent atoms:
Cu  0.0000  0.0000  0.2405 (multiplicity 4)
W  0.0000  0.5000  0.0000 (multiplicity 2)
Se  0.0000  0.5000  0.5000 (multiplicity 2)

Results
Total DFT energy (no corrections) = -6.19 eV per atom
Uncorrected formation energy = 0.396 eV/atom
Calculated volume = 117.1 Å³ per cell
Crystal system = orthorhombic

---

# 2
LiTa2Pt after structural relaxation. Source: Alexandria, functional GGA-PBEsol.

Cell: 2.8826 4.7494 9.2349 Å, 90.00 90.00 90.00°
Space group Imm2 (No. 44)
One atom of each set of equivalent atoms:
Li  0.0000  0.0000  0.0000 (multiplicity 2)
Ta  0.0000  0.0000  0.5283 (multiplicity 2)
Ta  0.0000  0.5000  0.7731 (multiplicity 2)
Pt  0.0000  0.5000  0.2762 (multiplicity 2)

Results
Total DFT energy (no corrections) = -8.56 eV per atom
Calculated volume = 126.4 Å³ per cell
Energy of formation = -0.05 eV/atom
Crystal system = orthorhombic

---

# 3
MgIrRhSe2 after structural relaxation. Source: Alexandria, functional GGA-PBEsol.

Cell: 4.6552 4.6552 4.5700 Å, 90.00 90.00 90.00°
Space group P4/mmm (No. 123)
One atom of each set of equivalent atoms:
Mg  0.0000  0.0000  0.0000 (multiplicity 1)
Ir  0.0000  0.0000  0.5000 (multiplicity 1)
Rh  0.5000  0.5000  0.5000 (multiplicity 1)
Se  0.0000  0.5000  0.0000 (multiplicity 2)

Results
Total DFT energy (no corrections) = -4.12 eV per atom
Uncorrected formation energy = 1.352 eV/atom
Calculated volume = 99.0 Å³ per cell
Crystal system = tetragonal

---

# 4
ZrFe2GePb after structural relaxation. Source: Alexandria, functional GGA-PBEsol.

Cell: 4.7073 4.7073 5.4045 Å, 90.00 90.00 90.00°
Space group P4/mmm (No. 123)
One atom of each set of equivalent atoms:
Zr  0.0000  0.0000  0.0000 (multiplicity 1)
Fe  0.0000  0.5000  0.5000 (multiplicity 2)
Ge  0.5000  0.5000  0.0000 (multiplicity 1)
Pb  0.0000  0.0000  0.5000 (multiplicity 1)

Results
Total DFT energy (no corrections) = -5.73 eV per atom
Calculated volume = 119.8 Å³ per cell
Energy of formation = 1.46 eV/atom
Crystal system = tetragonal

---

# 5
FeTeP2O8 after structural relaxation. Source: Alexandria, functional GGA-PBEsol.

Cell: 4.7642 6.5849 9.7737 Å, 90.00 97.82 90.00°
Space group P2_1/m (No. 11)
One atom of each set of equivalent atoms:
Fe  0.0674  0.2500  0.2336 (multiplicity 2)
Te  0.4095  0.2500  0.6927 (multiplicity 2)
P  0.1109  0.7500  0.1061 (multiplicity 2)
P  0.3309  0.7500  0.5887 (multiplicity 2)
O  0.1127  0.7500  0.9522 (multiplicity 2)
O  0.1991  0.2500  0.8636 (multiplicity 2)
O  0.2127  0.5667  0.6646 (multiplicity 4)
O  0.2259  0.7500  0.4321 (multiplicity 2)
O  0.2891  0.5687  0.1811 (multiplicity 4)
O  0.3439  0.2500  0.3971 (multiplicity 2)

Results
Total DFT energy (no corrections) = -7.16 eV per atom
Energy above the most stable polymorph in this dataset = 6 meV/atom
Uncorrected formation energy = -1.659 eV/atom
Calculated volume = 303.8 Å³ per cell
Crystal system = monoclinic

---

# 6
La4CdRh after structural relaxation. Source: Alexandria, functional GGA-PBEsol.

Cell: 8.7124 8.7124 8.7124 Å, 90.00 90.00 90.00°
Space group F-43m (No. 216)
One atom of each set of equivalent atoms:
La  0.1239  0.1239  0.1239 (multiplicity 16)
Cd  0.0000  0.0000  0.5000 (multiplicity 4)
Rh  0.2500  0.2500  0.7500 (multiplicity 4)

Results
Total DFT energy (no corrections) = -4.64 eV per atom
Calculated volume = 661.3 Å³ per cell
Energy of formation = 0.48 eV/atom
Crystal system = cubic

---

# 7
PIrBr2 after structural relaxation. Source: Alexandria, functional GGA-PBEsol.

Cell: 3.5426 3.5426 23.0842 Å, 90.00 90.00 120.00°
Space group R-3m (No. 166, hexagonal axes)
One atom of each set of equivalent atoms:
P  0.0000  0.0000  0.0000 (multiplicity 3)
Ir  0.0000  0.0000  0.5000 (multiplicity 3)
Br  0.0000  0.0000  0.2296 (multiplicity 6)

Results
Total DFT energy (no corrections) = -4.00 eV per atom
Energy above the most stable polymorph in this dataset = 1288 meV/atom
Uncorrected formation energy = 0.842 eV/atom
Calculated volume = 250.9 Å³ per cell
Crystal system = trigonal

---

# 8
Ca2MnNi after structural relaxation. Source: Alexandria, functional GGA-PBEsol.

Cell: 4.2432 4.2432 9.2933 Å, 90.00 90.00 90.00°
Space group I-4m2 (No. 119)
One atom of each set of equivalent atoms:
Ca  0.0000  0.0000  0.0000 (multiplicity 2)
Ca  0.0000  0.5000  0.2500 (multiplicity 2)
Mn  0.0000  0.5000  0.7500 (multiplicity 2)
Ni  0.0000  0.0000  0.5000 (multiplicity 2)

Results
Total DFT energy (no corrections) = -4.53 eV per atom
Calculated volume = 167.3 Å³ per cell
Energy of formation = 0.51 eV/atom
Crystal system = tetragonal

---

# 9
Mg4Hg after structural relaxation. Source: Alexandria, functional GGA-PBEsol.

Cell: 7.0713 7.0713 4.2504 Å, 90.00 90.00 90.00°
Space group I4/m (No. 87)
One atom of each set of equivalent atoms:
Mg  0.0999  0.7026  0.0000 (multiplicity 8)
Hg  0.0000  0.0000  0.5000 (multiplicity 2)

Results
Total DFT energy (no corrections) = -1.61 eV per atom
Calculated volume = 212.5 Å³ per cell
Energy of formation = -0.12 eV/atom
Crystal system = tetragonal

---

# 10
CuAuOF2 after structural relaxation. Source: Alexandria, functional GGA-PBEsol.

Cell: 3.7767 3.7767 3.9914 Å, 90.00 90.00 90.00°
Space group P4/mmm (No. 123)
One atom of each set of equivalent atoms:
Cu  0.0000  0.0000  0.0000 (multiplicity 1)
Au  0.5000  0.5000  0.5000 (multiplicity 1)
O  0.0000  0.0000  0.5000 (multiplicity 1)
F  0.0000  0.5000  0.0000 (multiplicity 2)

Results
Total DFT energy (no corrections) = -3.92 eV per atom
Uncorrected formation energy = -0.450 eV/atom
Calculated volume = 56.9 Å³ per cell
Crystal system = tetragonal

---

# 11
CuTc2Sb after structural relaxation. Source: Alexandria, functional GGA-PBEsol.

Cell: 3.1891 4.3276 4.3645 Å, 90.00 90.00 90.00°
Space group Pmmm (No. 47)
One atom of each set of equivalent atoms:
Cu  0.0000  0.0000  0.0000 (multiplicity 1)
Tc  0.0000  0.5000  0.5000 (multiplicity 1)
Tc  0.5000  0.0000  0.5000 (multiplicity 1)
Sb  0.5000  0.5000  0.0000 (multiplicity 1)

Results
Total DFT energy (no corrections) = -7.41 eV per atom
Uncorrected formation energy = 0.447 eV/atom
Calculated volume = 60.2 Å³ per cell
Crystal system = orthorhombic

---

# 12
Cr2GaH2 after structural relaxation. Source: Alexandria, functional GGA-PBEsol.

Cell: 2.9971 2.9971 9.1447 Å, 90.00 90.00 90.00°
Space group I4/mmm (No. 139)
One atom of each set of equivalent atoms:
Cr  0.0000  0.0000  0.1598 (multiplicity 4)
Ga  0.0000  0.0000  0.5000 (multiplicity 2)
H  0.0000  0.5000  0.2500 (multiplicity 4)

Results
Total DFT energy (no corrections) = -6.10 eV per atom
Calculated volume = 82.1 Å³ per cell
Crystal system = tetragonal